! KBaMg2Bi PBEsol optimized geometry; values from VASP
&SYSTEM
  ibrav = 0, nat = 5, ntyp = 4
/
ATOMIC_SPECIES
K 39.10 K.upf
Ba 137.33 Ba.upf
Mg 24.30 Mg.upf
Bi 208.98 Bi.upf
CELL_PARAMETERS angstrom
5.723 0.000 0.000
0.000 5.723 0.000
0.000 0.000 6.180
ATOMIC_POSITIONS angstrom
K 0.000 0.000 0.000
Ba 2.861 2.861 3.090
Mg 0.000 2.861 0.000
Mg 2.861 0.000 0.000
Bi 0.000 0.000 3.090
! Crystal system   tetragonal
! E_form   0.35 eV per atom